DFT (PBE-GGA) results for MnTcAg2 after structural relaxation.

The structure belongs to space group Imm2 (No. 44); the cell edges are 3.042, 4.709 and 9.005 Å and the angles 90.00°, 90.00° and 90.00°. The asymmetric unit holds Mn at (0.000, 0.000, 0.000), Tc at (0.000, 0.500, 0.697), Ag at (0.000, 0.000, 0.473) and Ag at (0.000, 0.500, 0.245).

As for the density: 9.491 g cm⁻³. The uncorrected energy is -5.804 eV/atom. The energy above the most stable polymorph in this dataset comes out at 0.226 eV per atom. As for the formation energy: 0.51 eV/atom. As for the spin magnetization: 1.79 μB/f.u.